Entry 1:
Compound: BeGe2PbO6
Source: Alexandria via LeMat-Bulk
Functional: PBE-GGA
Structure: optimized geometry

Output
* formation energy from raw total energies: -1.74 eV/atom
* spin magnetization: 0.000 Bohr magnetons per cell
* final energy: -0.469 Ry per atom

```
data_BeGe2PbO6
_chemical_formula_sum 'Be2 Ge4 Pb2 O12'
_symmetry_space_group_name_H-M 'P 1'
_symmetry_Int_Tables_number 1
_symmetry_space_group_name_Hall 'P 1'
_cell_length_a 5.903
_cell_length_b 7.305
_cell_length_c 7.305
_cell_angle_alpha 88.46
_cell_angle_beta 71.58
_cell_angle_gamma 71.58
loop_
_atom_site_label
_atom_site_type_symbol
_atom_site_fract_x
_atom_site_fract_y
_atom_site_fract_z
Be1 Be 0.250 0.206 0.794
Be2 Be 0.750 0.794 0.206
Ge1 Ge 0.362 0.780 0.615
Ge2 Ge 0.138 0.385 0.220
Ge3 Ge 0.638 0.220 0.385
Ge4 Ge 0.862 0.615 0.780
Pb1 Pb 0.250 0.866 0.134
Pb2 Pb 0.750 0.134 0.866
O1 O 0.218 0.988 0.780
O2 O 0.282 0.220 0.012
O3 O 0.782 0.012 0.220
O4 O 0.718 0.780 0.988
O5 O 0.486 0.804 0.369
O6 O 0.014 0.631 0.196
O7 O 0.514 0.196 0.631
O8 O 0.986 0.369 0.804
O9 O 0.095 0.705 0.621
O10 O 0.405 0.379 0.295
O11 O 0.905 0.295 0.379
O12 O 0.595 0.621 0.705
```

Entry 2:
Compound: PmBe2GeO6
Source: Alexandria via LeMat-Bulk
Functional: PBE-GGA
Structure: optimized geometry

Output
* formation energy from raw total energies: -2.24 eV/atom
* spin magnetization: 1.892 Bohr magnetons per cell
* final energy: -0.507 Ry per atom

```
data_PmBe2GeO6
_chemical_formula_sum 'Pm2 Be4 Ge2 O12'
_symmetry_space_group_name_H-M 'P 1'
_symmetry_Int_Tables_number 1
_symmetry_space_group_name_Hall 'P 1'
_cell_length_a 6.260
_cell_length_b 6.652
_cell_length_c 6.652
_cell_angle_alpha 81.52
_cell_angle_beta 66.46
_cell_angle_gamma 66.46
loop_
_atom_site_label
_atom_site_type_symbol
_atom_site_fract_x
_atom_site_fract_y
_atom_site_fract_z
Pm1 Pm 0.250 0.806 0.194
Pm2 Pm 0.750 0.194 0.806
Be1 Be 0.369 0.744 0.631
Be2 Be 0.131 0.369 0.256
Be3 Be 0.631 0.256 0.369
Be4 Be 0.869 0.631 0.744
Ge1 Ge 0.250 0.182 0.818
Ge2 Ge 0.750 0.818 0.182
O1 O 0.193 0.941 0.813
O2 O 0.307 0.187 0.059
O3 O 0.807 0.059 0.187
O4 O 0.693 0.813 0.941
O5 O 0.469 0.831 0.389
O6 O 0.031 0.611 0.169
O7 O 0.531 0.169 0.611
O8 O 0.969 0.389 0.831
O9 O 0.101 0.708 0.580
O10 O 0.399 0.420 0.292
O11 O 0.899 0.292 0.420
O12 O 0.601 0.580 0.708
```

Entry 3:
Compound: PmBe4Ge3O12
Source: Alexandria via LeMat-Bulk
Functional: PBE-GGA
Structure: optimized geometry

Output
* formation energy from raw total energies: -2.15 eV/atom
* spin magnetization: 1.107 Bohr magnetons per cell
* final energy: -0.499 Ry per atom

```
data_PmBe4Ge3O12
_chemical_formula_sum 'Pm1 Be4 Ge3 O12'
_symmetry_space_group_name_H-M 'P 1'
_symmetry_Int_Tables_number 1
_symmetry_space_group_name_Hall 'P 1'
_cell_length_a 6.175
_cell_length_b 6.175
_cell_length_c 6.175
_cell_angle_alpha 105.76
_cell_angle_beta 105.76
_cell_angle_gamma 105.76
loop_
_atom_site_label
_atom_site_type_symbol
_atom_site_fract_x
_atom_site_fract_y
_atom_site_fract_z
Pm1 Pm 0.000 0.000 0.000
Be1 Be 0.934 0.066 0.500
Be2 Be 0.066 0.500 0.934
Be3 Be 0.500 0.934 0.066
Be4 Be 0.500 0.500 0.500
Ge1 Ge 0.561 0.439 0.000
Ge2 Ge 0.439 0.000 0.561
Ge3 Ge 0.000 0.561 0.439
O1 O 0.500 0.341 0.659
O2 O 0.908 0.500 0.092
O3 O 0.092 0.908 0.500
O4 O 0.500 0.092 0.908
O5 O 0.361 0.969 0.237
O6 O 0.237 0.361 0.969
O7 O 0.969 0.237 0.361
O8 O 0.639 0.763 0.031
O9 O 0.031 0.639 0.763
O10 O 0.763 0.031 0.639
O11 O 0.659 0.500 0.341
O12 O 0.341 0.659 0.500
```

Entry 4:
Compound: Pm2BeGeO6
Source: Alexandria via LeMat-Bulk
Functional: PBE-GGA
Structure: optimized geometry

Output
* formation energy from raw total energies: -2.66 eV/atom
* spin magnetization: 0.000 Bohr magnetons per cell
* final energy: -0.546 Ry per atom

```
data_Pm2BeGeO6
_chemical_formula_sum 'Pm4 Be2 Ge2 O12'
_symmetry_space_group_name_H-M 'P 1'
_symmetry_Int_Tables_number 1
_symmetry_space_group_name_Hall 'P 1'
_cell_length_a 5.325
_cell_length_b 5.301
_cell_length_c 7.525
_cell_angle_alpha 90.00
_cell_angle_beta 89.83
_cell_angle_gamma 90.00
loop_
_atom_site_label
_atom_site_type_symbol
_atom_site_fract_x
_atom_site_fract_y
_atom_site_fract_z
Pm1 Pm 0.007 0.973 0.251
Pm2 Pm 0.507 0.527 0.751
Pm3 Pm 0.993 0.027 0.749
Pm4 Pm 0.493 0.473 0.249
Be1 Be 0.500 0.000 0.000
Be2 Be 0.000 0.500 0.500
Ge1 Ge 0.500 0.000 0.500
Ge2 Ge 0.000 0.500 0.000
O1 O 0.275 0.727 0.035
O2 O 0.775 0.773 0.535
O3 O 0.725 0.273 0.965
O4 O 0.225 0.227 0.465
O5 O 0.272 0.724 0.465
O6 O 0.772 0.776 0.965
O7 O 0.728 0.276 0.535
O8 O 0.228 0.224 0.035
O9 O 0.934 0.507 0.251
O10 O 0.434 0.993 0.751
O11 O 0.066 0.493 0.749
O12 O 0.566 0.007 0.249
```

Entry 5:
Compound: Pr2Be2GeO7
Source: Alexandria via LeMat-Bulk
Functional: PBE-GGA
Structure: optimized geometry

Output
* formation energy from raw total energies: -2.82 eV/atom
* spin magnetization: 0.000 Bohr magnetons per cell
* final energy: -0.552 Ry per atom

```
data_Pr2Be2GeO7
_chemical_formula_sum 'Pr4 Be4 Ge2 O14'
_symmetry_space_group_name_H-M 'P 1'
_symmetry_Int_Tables_number 1
_symmetry_space_group_name_Hall 'P 1'
_cell_length_a 7.673
_cell_length_b 7.673
_cell_length_c 4.955
_cell_angle_alpha 90.00
_cell_angle_beta 90.00
_cell_angle_gamma 90.00
loop_
_atom_site_label
_atom_site_type_symbol
_atom_site_fract_x
_atom_site_fract_y
_atom_site_fract_z
Pr1 Pr 0.660 0.840 0.504
Pr2 Pr 0.160 0.660 0.496
Pr3 Pr 0.840 0.340 0.496
Pr4 Pr 0.340 0.160 0.504
Be1 Be 0.367 0.867 0.039
Be2 Be 0.867 0.633 0.961
Be3 Be 0.633 0.133 0.039
Be4 Be 0.133 0.367 0.961
Ge1 Ge 0.500 0.500 0.000
Ge2 Ge 0.000 0.000 0.000
O1 O 0.922 0.826 0.797
O2 O 0.174 0.922 0.203
O3 O 0.578 0.326 0.203
O4 O 0.422 0.674 0.203
O5 O 0.326 0.422 0.797
O6 O 0.674 0.578 0.797
O7 O 0.000 0.500 0.830
O8 O 0.500 0.000 0.170
O9 O 0.141 0.359 0.281
O10 O 0.641 0.141 0.719
O11 O 0.359 0.859 0.719
O12 O 0.859 0.641 0.281
O13 O 0.078 0.174 0.797
O14 O 0.826 0.078 0.203
```

Entry 6:
Compound: PrBe4Ge3O12
Source: Alexandria via LeMat-Bulk
Functional: PBE-GGA
Structure: optimized geometry

Output
* formation energy from raw total energies: -2.14 eV/atom
* spin magnetization: 1.100 Bohr magnetons per cell
* final energy: -0.499 Ry per atom

```
data_PrBe4Ge3O12
_chemical_formula_sum 'Pr1 Be4 Ge3 O12'
_symmetry_space_group_name_H-M 'P 1'
_symmetry_Int_Tables_number 1
_symmetry_space_group_name_Hall 'P 1'
_cell_length_a 6.191
_cell_length_b 6.191
_cell_length_c 6.191
_cell_angle_alpha 105.67
_cell_angle_beta 105.67
_cell_angle_gamma 105.67
loop_
_atom_site_label
_atom_site_type_symbol
_atom_site_fract_x
_atom_site_fract_y
_atom_site_fract_z
Pr1 Pr 0.000 0.000 0.000
Be1 Be 0.933 0.067 0.500
Be2 Be 0.067 0.500 0.933
Be3 Be 0.500 0.933 0.067
Be4 Be 0.500 0.500 0.500
Ge1 Ge 0.561 0.439 0.000
Ge2 Ge 0.439 0.000 0.561
Ge3 Ge 0.000 0.561 0.439
O1 O 0.500 0.341 0.659
O2 O 0.908 0.500 0.092
O3 O 0.092 0.908 0.500
O4 O 0.500 0.092 0.908
O5 O 0.364 0.969 0.240
O6 O 0.240 0.364 0.969
O7 O 0.969 0.240 0.364
O8 O 0.636 0.760 0.031
O9 O 0.031 0.636 0.760
O10 O 0.760 0.031 0.636
O11 O 0.659 0.500 0.341
O12 O 0.341 0.659 0.500
```